No. 1
Material: Cd12In3Hg5
Method: DFT, PBE
State: optimized geometry

Values from the calculation:
The formation energy from the elements comes out at 0.155 eV per atom. As for the total energy: -140.82 eV/cell. The value obtained for the magnetic moment is 0.0 μB per formula unit.

```
data_Cd12In3Hg5
_chemical_formula_sum 'Cd96 In24 Hg40'
_cell_length_a 17.042
_cell_length_b 17.042
_cell_length_c 17.042
_cell_angle_alpha 90.00
_cell_angle_beta 90.00
_cell_angle_gamma 90.00
_symmetry_space_group_name_H-M 'I a -3 d'
_symmetry_Int_Tables_number 230
_symmetry_space_group_name_Hall '-I 4bd 2c 3'
loop_
_atom_site_label
_atom_site_type_symbol
_atom_site_fract_x
_atom_site_fract_y
_atom_site_fract_z
_atom_site_occupancy
Cd1 Cd 0.013 0.079 0.651 1
In1 In 0.000 0.250 0.125 1
Hg1 Hg 0.000 0.000 0.000 1
Hg2 Hg 0.000 0.250 0.375 1
```



No. 2
Material: Cd4InHg
Method: DFT, PBE
State: optimized geometry

Values from the calculation:
For the energy above the most stable polymorph in this dataset, the calculation gives 0.0 meV per atom. The formation energy from the elements comes out at 0.029 eV per atom. As for the total energy: -13.06 eV/cell. The value obtained for the magnetic moment is 0.0 μB per formula unit.

```
data_Cd4InHg
_chemical_formula_sum 'Cd8 In2 Hg2'
_cell_length_a 6.207
_cell_length_b 6.654
_cell_length_c 7.665
_cell_angle_alpha 67.07
_cell_angle_beta 89.04
_cell_angle_gamma 86.56
_symmetry_space_group_name_H-M 'P -1'
_symmetry_Int_Tables_number 2
_symmetry_space_group_name_Hall '-P 1'
loop_
_atom_site_label
_atom_site_type_symbol
_atom_site_fract_x
_atom_site_fract_y
_atom_site_fract_z
_atom_site_occupancy
Cd1 Cd 0.043 0.127 0.291 1
Cd2 Cd 0.201 0.630 0.460 1
Cd3 Cd 0.290 0.872 0.046 1
Cd4 Cd 0.456 0.381 0.205 1
In1 In 0.376 0.127 0.627 1
Hg1 Hg 0.128 0.373 0.877 1
```



No. 3
Material: CdIn3Hg6
Method: DFT, PBE
State: optimized geometry

Values from the calculation:
For the energy above the most stable polymorph in this dataset, the calculation gives 75.1 meV per atom. The formation energy from the elements comes out at 0.088 eV per atom. As for the total energy: -30.19 eV/cell. The value obtained for the magnetic moment is 0.0 μB per formula unit.

```
data_CdIn3Hg6
_chemical_formula_sum 'Cd3 In9 Hg18'
_cell_length_a 17.8713
_cell_length_b 17.8713
_cell_length_c 3.6569
_cell_angle_alpha 90.00
_cell_angle_beta 90.00
_cell_angle_gamma 120.00
_symmetry_space_group_name_H-M 'R 3 m'
_symmetry_Int_Tables_number 160
_symmetry_space_group_name_Hall 'R 3 -2"'
loop_
_atom_site_label
_atom_site_type_symbol
_atom_site_fract_x
_atom_site_fract_y
_atom_site_fract_z
_atom_site_occupancy
Cd1 Cd 0.0000 0.0000 0.0000 1
In1 In 0.0844 0.1688 0.4473 1
Hg1 Hg 0.0093 0.5046 0.6304 1
Hg2 Hg 0.1897 0.0948 0.8166 1
```



Q: Look up the magnetic moment of the second one.
A: 0.0 μB per formula unit